## MnCdSnO4 (PBE with a Hubbard U)

Data for an optimized crystal structure of MnCdSnO4.

SG ... Imma, No. 74
Final energy ... -42.83 eV per formula unit
Crystal system ... orthorhombic

a = 6.5188 Å, b = 6.5188 Å, c = 6.5188 Å
α = 121.00°, β = 120.05°, γ = 89.10°
Closest atoms and distances in Å follow each position.
Fractional positions:
Mn (0.5000, 0.0000, 0.0000)  6 O 2.19-2.29
Mn (0.5000, 0.5000, 0.5000)  6 O 2.19-2.29
Cd (0.1090, 0.3590, 0.7500)  4 O 2.20-2.25
Cd (0.8910, 0.6410, 0.2500)  4 O 2.20-2.25
Sn (0.0000, 0.0000, 0.0000)  6 O 2.07-2.15
Sn (0.5000, 0.0000, 0.5000)  6 O 2.07-2.15
O (0.2472, 0.2219, 0.0253)  1 Sn 2.07, 2 Mn 2.19, 1 Cd 2.20
O (0.2544, 0.2233, 0.4689)  2 Sn 2.15, 1 Cd 2.25, 1 Mn 2.29
O (0.2544, 0.7855, 0.0311)  2 Sn 2.15, 1 Cd 2.25, 1 Mn 2.29
O (0.3034, 0.7781, 0.5253)  1 Sn 2.07, 2 Mn 2.19, 1 Cd 2.20
O (0.6966, 0.2219, 0.4747)  1 Sn 2.07, 2 Mn 2.19, 1 Cd 2.20
O (0.7456, 0.2145, 0.9689)  2 Sn 2.15, 1 Cd 2.25, 1 Mn 2.29
O (0.7456, 0.7767, 0.5311)  2 Sn 2.15, 1 Cd 2.25, 1 Mn 2.29
O (0.7528, 0.7781, 0.9747)  1 Sn 2.07, 2 Mn 2.19, 1 Cd 2.20